Record 1
## BaHoNO (PBE)

Data for BaHoNO after structural relaxation.

a = 6.976 Å, b = 8.374 Å, c = 5.765 Å
α = 90.00°, β = 90.00°, γ = 90.00°
Fractional positions:
Ba (0.076, 0.143, 0.000)
Ba (0.424, 0.143, 0.500)
Ba (0.576, 0.857, 0.000)
Ba (0.924, 0.857, 0.500)
Ho (0.088, 0.608, 0.991)
Ho (0.412, 0.608, 0.491)
Ho (0.588, 0.392, 0.991)
Ho (0.912, 0.392, 0.491)
N (0.104, 0.592, 0.604)
N (0.396, 0.592, 0.104)
N (0.604, 0.408, 0.604)
N (0.896, 0.408, 0.104)
O (0.048, 0.155, 0.534)
O (0.452, 0.155, 0.034)
O (0.548, 0.845, 0.534)
O (0.952, 0.845, 0.034)

## Properties
For the polymorph energy (0 for the lowest one), the calculation gives 0.000 eV/atom. For the total energy, the calculation gives -111.13 eV/cell. As for the space-group type: Pca2_1.



Record 2
## MgAgTe3Au (PBE)

Data for MgAgTe3Au after structural relaxation.

a = 8.544 Å, b = 8.544 Å, c = 9.221 Å
α = 90.00°, β = 90.00°, γ = 152.98°
Fractional positions:
Mg (0.238, 0.762, 0.750)
Mg (0.762, 0.238, 0.250)
Ag (0.039, 0.961, 0.250)
Ag (0.961, 0.039, 0.750)
Te (0.173, 0.827, 0.063)
Te (0.173, 0.827, 0.437)
Te (0.414, 0.586, 0.250)
Te (0.586, 0.414, 0.750)
Te (0.827, 0.173, 0.563)
Te (0.827, 0.173, 0.937)
Au (0.500, 0.500, 0.000)
Au (0.500, 0.500, 0.500)

## Properties
For the total energy, the calculation gives -35.65 eV/cell. As for the space-group type: Cmcm.